[1]
# Hf2ReAs | the Alexandria database | PBE | relaxed
data_Hf2ReAs
_chemical_formula_sum 'Hf6 Re3 As3'
_cell_length_a 2.9773
_cell_length_b 2.9773
_cell_length_c 29.6462
_cell_angle_alpha 90.00
_cell_angle_beta 90.00
_cell_angle_gamma 120.00
_symmetry_space_group_name_H-M 'R -3 m'
_symmetry_Int_Tables_number 166
_symmetry_space_group_name_Hall '-R 3 2"'
loop_
_atom_site_label
_atom_site_fract_x
_atom_site_fract_y
_atom_site_fract_z
Hf1 0.0000 0.0000 0.0880
Re1 0.0000 0.0000 0.0000
As1 0.0000 0.0000 0.5000
# VASP energy	-8.920	eV per atom
# crystal system	trigonal

[2]
# BeAl3Te | the Alexandria database | PBE | relaxed
data_BeAl3Te
_chemical_formula_sum 'Be1 Al3 Te1'
_cell_length_a 5.326
_cell_length_b 5.326
_cell_length_c 5.326
_cell_angle_alpha 90.00
_cell_angle_beta 90.00
_cell_angle_gamma 90.00
_symmetry_space_group_name_H-M 'P m -3 m'
_symmetry_Int_Tables_number 221
_symmetry_space_group_name_Hall '-P 4 2 3'
loop_
_atom_site_label
_atom_site_fract_x
_atom_site_fract_y
_atom_site_fract_z
Be1 0.000 0.000 0.000
Al1 0.000 0.500 0.500
Te1 0.500 0.500 0.500
# VASP energy	-2.236	eV per atom
# E above lowest polymorph	574	kJ/mol of formula units
# crystal system	cubic
# energy relative to the elements, uncorrected	1383	meV per atom

[3]
# PrPaRh2 | the Alexandria database | PBE | relaxed
data_PrPaRh2
_chemical_formula_sum 'Pr4 Pa4 Rh8'
_cell_length_a 6.997
_cell_length_b 6.997
_cell_length_c 6.997
_cell_angle_alpha 90.00
_cell_angle_beta 90.00
_cell_angle_gamma 90.00
_symmetry_space_group_name_H-M 'F m -3 m'
_symmetry_Int_Tables_number 225
_symmetry_space_group_name_Hall '-F 4 2 3'
loop_
_atom_site_label
_atom_site_fract_x
_atom_site_fract_y
_atom_site_fract_z
Pr1 0.000 0.000 0.000
Pa1 0.000 0.000 0.500
Rh1 0.250 0.250 0.250
# VASP energy	-7.769	eV per atom
# E above lowest polymorph	73	kJ/mol of formula units
# crystal system	cubic

[4]
# FeSi2Se | the Alexandria database | PBE | relaxed
data_FeSi2Se
_chemical_formula_sum 'Fe2 Si4 Se2'
_cell_length_a 4.740
_cell_length_b 5.961
_cell_length_c 4.579
_cell_angle_alpha 90.00
_cell_angle_beta 90.00
_cell_angle_gamma 90.00
_symmetry_space_group_name_H-M 'C m m m'
_symmetry_Int_Tables_number 65
_symmetry_space_group_name_Hall '-C 2 2'
loop_
_atom_site_label
_atom_site_fract_x
_atom_site_fract_y
_atom_site_fract_z
Fe1 0.000 0.000 0.000
Si1 0.000 0.197 0.500
Se1 0.000 0.500 0.000
# VASP energy	-5.442	eV per atom
# crystal system	orthorhombic
# energy relative to the elements, uncorrected	256	meV per atom

[5]
# RbTe2PdO8 | the Alexandria database | PBE | relaxed
data_RbTe2PdO8
_chemical_formula_sum 'Rb1 Te2 Pd1 O8'
_cell_length_a 5.3084
_cell_length_b 5.3084
_cell_length_c 9.1354
_cell_angle_alpha 90.00
_cell_angle_beta 90.00
_cell_angle_gamma 120.00
_symmetry_space_group_name_H-M 'P -3'
_symmetry_Int_Tables_number 147
_symmetry_space_group_name_Hall '-P 3'
loop_
_atom_site_label
_atom_site_fract_x
_atom_site_fract_y
_atom_site_fract_z
Rb1 0.0000 0.0000 0.0000
Te1 0.3333 0.6667 0.6958
Pd1 0.0000 0.0000 0.5000
O1 0.0058 0.3148 0.6369
O2 0.3333 0.6667 0.8958
# VASP energy	-5.117	eV per atom
# crystal system	trigonal
# energy relative to the elements, uncorrected	-775	meV per atom

[6]
# Sm2ZnIn | the Alexandria database | PBE | relaxed
data_Sm2ZnIn
_chemical_formula_sum 'Sm2 Zn1 In1'
_cell_length_a 3.709
_cell_length_b 3.709
_cell_length_c 7.610
_cell_angle_alpha 90.00
_cell_angle_beta 90.00
_cell_angle_gamma 90.00
_symmetry_space_group_name_H-M 'P 4/m m m'
_symmetry_Int_Tables_number 123
_symmetry_space_group_name_Hall '-P 4 2'
loop_
_atom_site_label
_atom_site_fract_x
_atom_site_fract_y
_atom_site_fract_z
Sm1 0.000 0.000 0.230
Zn1 0.500 0.500 0.000
In1 0.500 0.500 0.500
# VASP energy	-3.773	eV per atom
# crystal system	tetragonal